Entry 1:
5
Lattice="5.917 0.000 0.000 0.000 5.917 0.000 0.000 0.000 5.917" Properties=species:S:1:pos:R:3 comment="MoI3Br (PBE, optimized geometry)" density_g_cm3=4.46 relative_energy_ev_per_atom=1.317 spacegroup="Pm-3m, No. 221" pbc="T T T"
I 0.000 0.000 2.958
I 2.958 0.000 0.000
I 0.000 2.958 0.000
Br 0.000 0.000 0.000
Mo 2.958 2.958 2.958


Entry 2:
8
Lattice="-0.940 -2.325 7.724 8.025 0.512 1.131 3.267 1.727 5.187" Properties=species:S:1:pos:R:3 comment="TiAu2I (PBE, optimized geometry)" density_g_cm3=10.40 relative_energy_ev_per_atom=0.000 spacegroup="I-42d, No. 122" pbc="T T T"
Ti 7.418 0.667 5.372
Ti 3.543 -0.906 4.427
I 2.935 -0.752 8.669
I 0.000 0.000 0.000
Au 8.368 -0.309 11.598
Au 5.682 0.380 3.240
Au 5.390 0.634 7.250
Au 1.266 -0.876 5.994


Entry 3:
5
Lattice="5.429 0.000 0.000 0.000 4.414 0.000 0.000 0.000 5.429" Properties=species:S:1:pos:R:3 comment="BaYPd2N (PBE, optimized geometry)" density_g_cm3=5.78 final_energy_ev_per_fu=-22.48 spacegroup="P4/mmm, No. 123" pbc="T T T"
Y 2.715 2.207 2.715
Pd 2.715 0.000 0.000
Pd 0.000 0.000 2.715
Ba 0.000 0.000 0.000
N 0.000 2.207 0.000


Entry 4:
5
Lattice="-1.957 -1.467 -2.985 2.024 -3.273 0.282 -2.713 -1.463 2.497" Properties=species:S:1:pos:R:3 comment="Co2TcPdN (PBE, optimized geometry)" density_g_cm3=9.46 final_energy_ev_per_fu=-37.73 spacegroup="P4/mmm, No. 123" pbc="T T T"
Tc -1.356 -0.731 1.249
Pd -1.323 -3.101 -0.103
N 0.000 0.000 0.000
Co -0.978 -0.733 -1.492
Co 1.012 -1.637 0.141


Entry 5:
10
Lattice="6.211 0.000 0.021 0.000 2.865 0.000 -1.267 0.000 4.760" Properties=species:S:1:pos:R:3 comment="SiB3C (PBE, optimized geometry)" density_g_cm3=2.84 relative_energy_ev_per_atom=0.214 spacegroup="Cm, No. 8" pbc="T T T"
Si 4.944 0.000 1.734
Si 4.310 1.432 4.114
B 3.006 1.432 0.348
B 0.205 1.432 1.272
B 0.630 0.000 2.216
B -0.428 0.000 3.652
B 2.372 0.000 2.728
B -0.004 1.432 4.597
C 3.124 0.000 1.210
C 2.490 1.432 3.590


Entry 6:
7
Lattice="-2.402 -1.881 1.882 -0.481 -2.095 -2.706 9.102 -9.389 5.648" Properties=species:S:1:pos:R:3 comment="Mg2Hg3Pb2 (PBE, optimized geometry)" density_g_cm3=10.10 final_energy_ev_per_fu=-12.27 spacegroup="Cmmm, No. 65" pbc="T T T"
Pb 3.576 -8.027 3.370
Pb 2.643 -5.337 1.454
Mg 6.399 -10.342 4.659
Mg -0.180 -3.022 0.164
Hg -0.390 -6.019 0.315
Hg 6.609 -7.345 4.509
Hg 0.000 0.000 0.000


In order of appearance, DOS at the Fermi energy = 2.3; 5.4; 2.2; 5.9; 2.0; 1.9 states/eV per cell.